1.
This record from Alexandria describes a relaxed structure of La3BiSe. The functional is GGA-PBE.

a = 5.6420 Å, b = 5.6420 Å, c = 5.6420 Å
α = 90.00°, β = 90.00°, γ = 90.00°
Atoms (fractional coordinates):
La: 0.0000 0.0000 0.5000
La: 0.0000 0.5000 0.0000
La: 0.5000 0.0000 0.0000
Bi: 0.5000 0.5000 0.5000
Se: 0.0000 0.0000 0.0000

Calculated values
magnetization: 0.00 μB/f.u.
E above lowest polymorph: 0.0 meV per atom
calculated density: 6.5 g/cm³

***

2.
This record from Alexandria describes a relaxed structure of La2Bi2Se. The functional is GGA-PBE.

a = 8.2434 Å, b = 8.2434 Å, c = 4.8585 Å
α = 90.00°, β = 90.00°, γ = 90.00°
Atoms (fractional coordinates):
La: 0.1794 0.3206 0.0000
La: 0.3206 0.8206 0.0000
La: 0.6794 0.1794 0.0000
La: 0.8206 0.6794 0.0000
Bi: 0.1277 0.6277 0.5000
Bi: 0.3723 0.1277 0.5000
Bi: 0.6277 0.8723 0.5000
Bi: 0.8723 0.3723 0.5000
Se: 0.0000 0.0000 0.0000
Se: 0.5000 0.5000 0.0000

Calculated values
magnetization: 0.00 μB/f.u.
calculated density: 7.8 g/cm³
energy: -53.3 eV/cell

***

3.
This record from Alexandria describes a relaxed structure of La4Bi3Se. The functional is GGA-PBE.

a = 7.9844 Å, b = 9.2431 Å, c = 7.9911 Å
α = 90.00°, β = 109.52°, γ = 90.00°
Atoms (fractional coordinates):
La: 0.2409 0.1199 0.0012
La: 0.2409 0.8801 0.5012
La: 0.2464 0.3700 0.4944
La: 0.2464 0.6300 0.9944
La: 0.7536 0.3700 0.0056
La: 0.7536 0.6300 0.5056
La: 0.7591 0.1199 0.4988
La: 0.7591 0.8801 0.9988
Bi: 0.0000 0.3735 0.7500
Bi: 0.0000 0.6265 0.2500
Bi: 0.5000 0.1243 0.7500
Bi: 0.5000 0.3740 0.2500
Bi: 0.5000 0.6260 0.7500
Bi: 0.5000 0.8757 0.2500
Se: 0.0000 0.1231 0.2500
Se: 0.0000 0.8769 0.7500

Calculated values
magnetization: 0.00 μB/f.u.
calculated density: 7.5 g/cm³
energy: -90.2 eV/cell

***

4.
This record from Alexandria describes a relaxed structure of La2Bi2Se7. The functional is GGA-PBE.

a = 7.4400 Å, b = 7.4400 Å, c = 6.2365 Å
α = 90.00°, β = 90.00°, γ = 94.85°
Atoms (fractional coordinates):
La: 0.2482 0.2482 0.0000
La: 0.7518 0.7518 0.0000
Bi: 0.2658 0.7342 0.5000
Bi: 0.7342 0.2658 0.5000
Se: 0.0000 0.0000 0.5000
Se: 0.0000 0.5000 0.2349
Se: 0.0000 0.5000 0.7651
Se: 0.5000 0.0000 0.2349
Se: 0.5000 0.0000 0.7651
Se: 0.5000 0.5000 0.2472
Se: 0.5000 0.5000 0.7528

Calculated values
magnetization: 0.00 μB/f.u.
calculated density: 6.0 g/cm³
energy: -51.2 eV/cell

***

5.
This record from Alexandria describes a relaxed structure of La4SiBiSe2. The functional is GGA-PBE.

a = 7.6464 Å, b = 4.4513 Å, c = 7.7756 Å
α = 90.00°, β = 109.53°, γ = 90.00°
Atoms (fractional coordinates):
La: 0.2462 0.0000 0.2344
La: 0.2543 0.5000 0.7633
La: 0.7457 0.5000 0.2367
La: 0.7538 0.0000 0.7656
Si: 0.5000 0.0000 0.0000
Bi: 0.5000 0.5000 0.5000
Se: 0.0000 0.0000 0.5000
Se: 0.0000 0.5000 0.0000

Calculated values
magnetization: 0.00 μB/f.u.
calculated density: 6.3 g/cm³
energy: -47.4 eV/cell

***

6.
This record from Alexandria describes a relaxed structure of LaSmBiSe. The functional is GGA-PBE.

a = 7.9770 Å, b = 7.9770 Å, c = 7.9770 Å
α = 31.79°, β = 31.79°, γ = 31.79°
Atoms (fractional coordinates):
La: 0.0000 0.0000 0.0000
Sm: 0.8176 0.8176 0.8176
Bi: 0.2395 0.2395 0.2395
Se: 0.4145 0.4145 0.4145

Calculated values
magnetization: 0.00 μB/f.u.
calculated density: 7.7 g/cm³
energy: -22.5 eV/cell

***

7.
This record from Alexandria describes a relaxed structure of La6Sn2BiSe3. The functional is GGA-PBE.

a = 10.0423 Å, b = 10.0423 Å, c = 8.9773 Å
α = 102.03°, β = 102.03°, γ = 26.04°
Atoms (fractional coordinates):
La: 0.0007 0.0007 0.2404
La: 0.3296 0.3296 0.4184
La: 0.3346 0.3346 0.9127
La: 0.6654 0.6654 0.0873
La: 0.6704 0.6704 0.5816
La: 0.9993 0.9993 0.7596
Sn: 0.1664 0.1664 0.8326
Sn: 0.8336 0.8336 0.1674
Bi: 0.5000 0.5000 0.5000
Se: 0.1656 0.1656 0.3334
Se: 0.5000 0.5000 0.0000
Se: 0.8344 0.8344 0.6666

Calculated values
magnetization: 0.00 μB/f.u.
calculated density: 6.5 g/cm³
energy: -68.9 eV/cell

***

8.
This record from Alexandria describes a relaxed structure of La4SnBiSe2. The functional is GGA-PBE.

a = 7.7457 Å, b = 4.5267 Å, c = 7.8521 Å
α = 90.00°, β = 109.67°, γ = 90.00°
Atoms (fractional coordinates):
La: 0.2387 0.0000 0.2418
La: 0.2410 0.5000 0.7507
La: 0.7590 0.5000 0.2493
La: 0.7613 0.0000 0.7582
Sn: 0.5000 0.0000 0.0000
Bi: 0.5000 0.5000 0.5000
Se: 0.0000 0.0000 0.5000
Se: 0.0000 0.5000 0.0000

Calculated values
magnetization: 0.00 μB/f.u.
calculated density: 6.7 g/cm³
energy: -46.1 eV/cell

***

9.
This record from Alexandria describes a relaxed structure of La4SnBi2Se. The functional is GGA-PBE.

a = 7.9567 Å, b = 4.6020 Å, c = 7.9926 Å
α = 90.00°, β = 109.41°, γ = 90.00°
Atoms (fractional coordinates):
La: 0.2459 0.0000 0.2400
La: 0.2496 0.5000 0.7588
La: 0.7504 0.5000 0.2412
La: 0.7541 0.0000 0.7600
Sn: 0.5000 0.0000 0.0000
Bi: 0.0000 0.0000 0.5000
Bi: 0.5000 0.5000 0.5000
Se: 0.0000 0.5000 0.0000

Calculated values
magnetization: 0.00 μB/f.u.
calculated density: 7.0 g/cm³
energy: -44.6 eV/cell

***

10.
This record from Alexandria describes a relaxed structure of La6Bi2Te3Se. The functional is GGA-PBE.

a = 10.2547 Å, b = 10.2547 Å, c = 9.1797 Å
α = 103.01°, β = 103.01°, γ = 25.79°
Atoms (fractional coordinates):
La: 0.0021 0.0021 0.2706
La: 0.3338 0.3338 0.9156
La: 0.3426 0.3426 0.4226
La: 0.6574 0.6574 0.5774
La: 0.6662 0.6662 0.0844
La: 0.9979 0.9979 0.7294
Bi: 0.1655 0.1655 0.8329
Bi: 0.8345 0.8345 0.1671
Te: 0.1708 0.1708 0.3358
Te: 0.5000 0.5000 0.0000
Te: 0.8292 0.8292 0.6642
Se: 0.5000 0.5000 0.5000

Calculated values
magnetization: 0.00 μB/f.u.
calculated density: 7.0 g/cm³
energy: -68.0 eV/cell

***

11.
This record from Alexandria describes a relaxed structure of La4BiTeSe2. The functional is GGA-PBE.

a = 7.7224 Å, b = 4.4641 Å, c = 7.8134 Å
α = 90.00°, β = 109.25°, γ = 90.00°
Atoms (fractional coordinates):
La: 0.2414 0.0000 0.2262
La: 0.2575 0.5000 0.7732
La: 0.7425 0.5000 0.2268
La: 0.7586 0.0000 0.7738
Bi: 0.0000 0.0000 0.5000
Te: 0.5000 0.5000 0.5000
Se: 0.0000 0.5000 0.0000
Se: 0.5000 0.0000 0.0000

Calculated values
magnetization: 0.00 μB/f.u.
calculated density: 6.9 g/cm³
energy: -47.0 eV/cell

***

12.
This record from Alexandria describes a relaxed structure of La6Bi3Te2Se. The functional is GGA-PBE.

a = 10.2828 Å, b = 10.2828 Å, c = 9.1860 Å
α = 102.59°, β = 102.59°, γ = 25.93°
Atoms (fractional coordinates):
La: 0.0015 0.0015 0.2634
La: 0.3339 0.3339 0.9155
La: 0.3401 0.3401 0.4200
La: 0.6599 0.6599 0.5800
La: 0.6661 0.6661 0.0845
La: 0.9985 0.9985 0.7366
Bi: 0.1697 0.1697 0.3356
Bi: 0.5000 0.5000 0.0000
Bi: 0.8303 0.8303 0.6644
Te: 0.1658 0.1658 0.8334
Te: 0.8342 0.8342 0.1666
Se: 0.5000 0.5000 0.5000

Calculated values
magnetization: 0.00 μB/f.u.
calculated density: 7.2 g/cm³
energy: -67.7 eV/cell

***

Question: What is the formula in the second record?
Answer: La2Bi2Se